The following is a PBE calculation of a geometry-optimized YZnBiAu structure, from the Alexandria database.

Calculated values
DFT formation energy: -0.358 eV/atom
Uncorrected energy: -4.08 eV per atom
Crystal system: cubic
M_tot: 0.000 μB/atom

a = 7.204 Å, b = 7.204 Å, c = 7.204 Å
α = 90.00°, β = 90.00°, γ = 90.00°
Space group F-43m (No. 216)
Symmetry-distinct sites (fractional):
1 Y 0.000 0.000 0.000
2 Zn 0.250 0.250 0.250
3 Bi 0.000 0.000 0.500
4 Au 0.250 0.250 0.750



The following is a PBE calculation of a geometry-optimized Y2ZnBiAu structure, from the Alexandria database.

Calculated values
DFT formation energy: 0.415 eV/atom
Uncorrected energy: -3.86 eV per atom
Crystal system: tetragonal
M_tot: 0.000 μB/atom

a = 5.814 Å, b = 5.814 Å, c = 5.308 Å
α = 90.00°, β = 90.00°, γ = 90.00°
Space group P4/mmm (No. 123)
Symmetry-distinct sites (fractional):
1 Y 0.000 0.500 0.000
2 Zn 0.000 0.000 0.500
3 Bi 0.500 0.500 0.000
4 Au 0.500 0.500 0.500



The following is a PBE calculation of a geometry-optimized ZnBi3Au structure, from the Alexandria database.

Calculated values
DFT formation energy: 0.620 eV/atom
Uncorrected energy: -2.62 eV per atom
Crystal system: cubic
M_tot: 0.000 μB/atom

a = 5.346 Å, b = 5.346 Å, c = 5.346 Å
α = 90.00°, β = 90.00°, γ = 90.00°
Space group Pm-3m (No. 221)
Symmetry-distinct sites (fractional):
1 Zn 0.000 0.000 0.000
2 Bi 0.000 0.000 0.500
3 Au 0.500 0.500 0.500